Here is an optimized crystal structure of Sr2NdMoO6 from Alexandria. Energies are from GGA+U.

## Properties
Energy (eV for the cell shown): -142.86
Magnetization (μB per formula unit): 1.00
Density (g/cm3): 5.638

a b c (Å): 5.897 6.021 8.484
angles (deg): 90.00 89.94 90.00
Last column: magnetic moment on the atom in μB.
Fractional coordinates of all 20 atoms:
Sr  0.992  0.044  0.747  0.00
Sr  0.508  0.544  0.753  0.00
Sr  0.008  0.956  0.253  0.00
Sr  0.492  0.456  0.247  0.00
O  0.825  0.770  0.950  -0.02
O  0.175  0.230  0.050  -0.02
O  0.281  0.686  0.046  0.01
O  0.325  0.730  0.450  -0.02
O  0.719  0.314  0.954  0.01
O  0.781  0.814  0.546  0.01
O  0.090  0.466  0.768  0.01
O  0.219  0.186  0.454  0.01
O  0.910  0.534  0.232  0.01
O  0.410  0.966  0.732  0.01
O  0.590  0.034  0.268  0.01
O  0.675  0.270  0.550  -0.02
Nd  0.000  0.500  0.500  0.01
Nd  0.500  0.000  0.000  0.01
Mo  0.000  0.500  0.000  0.94
Mo  0.500  0.000  0.500  0.94